1.
Compound: ErSnIr
Source: Alexandria
Functional: PBE-GGA
Structure: relaxed

POSCAR file:
```
ErSnIr
1.0
7.498 0.000 0.000
-3.749 6.494 0.000
0.000 0.000 3.882
Er Sn Ir
3 3 3
Direct
0.000 0.596 0.000 Er
0.404 0.404 0.000 Er
0.596 0.000 0.000 Er
0.000 0.262 0.500 Sn
0.262 0.000 0.500 Sn
0.738 0.738 0.500 Sn
0.000 0.000 0.000 Ir
0.333 0.667 0.500 Ir
0.667 0.333 0.500 Ir
```

## Properties
- size of the total moment (μB/atom) = 0.00
- ΔE_f (meV/atom) = -846
- V (Å³ per atom) = 21.0

=====

2.
Compound: Er3SnIr
Source: Alexandria
Functional: PBE-GGA
Structure: relaxed

POSCAR file:
```
Er3SnIr
1.0
4.514 0.000 0.000
0.000 4.760 0.000
-2.244 0.000 11.520
Er Sn Ir
6 2 2
Direct
0.053 0.250 0.104 Er
0.175 0.750 0.348 Er
0.325 0.750 0.652 Er
0.675 0.250 0.348 Er
0.825 0.250 0.652 Er
0.947 0.750 0.896 Er
0.431 0.250 0.865 Sn
0.569 0.750 0.135 Sn
0.248 0.250 0.497 Ir
0.752 0.750 0.503 Ir
```

## Properties
- size of the total moment (μB/atom) = 0.00
- ΔE_f (meV/atom) = -688
- V (Å³ per atom) = 24.8

=====

3.
Compound: Er4SnIr
Source: Alexandria
Functional: PBE-GGA
Structure: relaxed

POSCAR file:
```
Er4SnIr
1.0
7.465 0.000 0.000
0.000 6.941 0.000
-0.167 0.000 6.865
Er Sn Ir
8 2 2
Direct
0.140 0.163 0.173 Er
0.140 0.337 0.673 Er
0.308 0.648 0.135 Er
0.308 0.852 0.635 Er
0.692 0.148 0.365 Er
0.692 0.352 0.865 Er
0.860 0.663 0.327 Er
0.860 0.837 0.827 Er
0.500 0.000 0.000 Sn
0.500 0.500 0.500 Sn
0.000 0.000 0.500 Ir
0.000 0.500 0.000 Ir
```

## Properties
- size of the total moment (μB/atom) = 0.00
- ΔE_f (meV/atom) = -492
- V (Å³ per atom) = 29.6